Record 1
The following is a DFT calculation (PBE) of a relaxed ScPaBe2 crystal.

Unit cell a=4.6072 b=4.6072 c=4.6072 alpha=60.00 beta=60.00 gamma=60.00
Atoms (fractional coordinates):
Sc 0.0000 0.0000 0.0000
Be 0.2500 0.2500 0.2500
Be 0.7500 0.7500 0.7500
Pa 0.5000 0.5000 0.5000

## Properties
Its excess energy over the best structure of this formula in the dataset is 71 meV per atom. The space-group type is Fm-3m, No. 225. Its formation energy is 61 kJ/mol of formula units.



Record 2
The following is a DFT calculation (PBE) of a relaxed Ba2DyTlO6 crystal.

Unit cell a=6.1966 b=6.1965 c=6.2040 alpha=60.04 beta=60.05 gamma=90.00
Atoms (fractional coordinates):
Ba 0.2500 0.7500 0.5000
Ba 0.7500 0.2500 0.5000
Dy 0.0000 0.0000 0.0000
Tl 0.5000 0.5000 0.0000
O 0.2506 0.7494 0.0000
O 0.7493 0.7493 0.0001
O 0.2502 0.2502 0.4997
O 0.7494 0.2506 0.0000
O 0.2507 0.2507 0.9999
O 0.7498 0.7498 0.5003

## Properties
The formation energy without anion corrections is -2.00 eV per atom. The space-group type is I4/mmm, No. 139.



Record 3
The following is a DFT calculation (PBE) of a relaxed Ce2PmPa crystal.

Unit cell a=3.3618 b=3.3618 c=9.9999 alpha=90.00 beta=90.00 gamma=90.00
Atoms (fractional coordinates):
Pa 0.5000 0.5000 0.0000
Ce 0.0000 0.0000 0.7708
Ce 0.0000 0.0000 0.2292
Pm 0.5000 0.5000 0.5000

## Properties
Its excess energy over the best structure of this formula in the dataset is 0 meV per atom. The space-group type is P4/mmm, No. 123. Its formation energy is 33 kJ/mol of formula units.



Record 4
The following is a DFT calculation (PBE) of a relaxed UCoP2 crystal.

Unit cell a=4.1505 b=4.1505 c=7.1303 alpha=73.08 beta=73.08 gamma=60.00
Atoms (fractional coordinates):
Co 0.0000 0.0000 0.0000
U 0.5000 0.5000 0.5000
P 0.1066 0.1066 0.6803
P 0.8934 0.8934 0.3197

## Properties
Its excess energy over the best structure of this formula in the dataset is 968 meV per atom. The space-group type is R-3m, No. 166. Its formation energy is 60 kJ/mol of formula units.



no.,D(E_F) (states/eV/f.u.)
1,1.8
2,6.8
3,9.3
4,9.5